Record 1
Compound: Co5Si4
Source: Alexandria via LeMat-Bulk
Functional: PBE
Structure: optimized geometry

Lattice parameters (Å, degrees): 6.8130 6.8130 4.9230 90.00 90.00 120.00
Space group P6_3/mcm (No. 193)
Unique sites:
Co 0.0000 0.2893 0.2500
Co 0.3333 0.6667 0.0000
Si 0.0000 0.0000 0.0000
Si 0.0000 0.3809 0.7500

- energy above the lowest structure with this stoichiometry (meV/atom) = 0



Record 2
Compound: SmCoSi
Source: Alexandria via LeMat-Bulk
Functional: PBE
Structure: optimized geometry

Lattice parameters (Å, degrees): 3.9829 3.9829 4.1443 90.00 90.00 120.00
Space group P-6m2 (No. 187)
Unique sites:
Sm 0.0000 0.0000 0.0000
Co 0.6667 0.3333 0.5000
Si 0.3333 0.6667 0.5000



Record 3
Compound: Sm2Co5Si4
Source: Alexandria via LeMat-Bulk
Functional: PBE
Structure: optimized geometry

Lattice parameters (Å, degrees): 5.376 9.296 13.125 90.00 90.00 90.00
Space group Fmmm (No. 69)
Unique sites:
Sm 0.000 0.000 0.134
Co 0.000 0.000 0.500
Co 0.250 0.250 0.000
Co 0.250 0.250 0.250
Si 0.000 0.154 0.369



Record 4
Compound: Sm5Co2Si
Source: Alexandria via LeMat-Bulk
Functional: PBE
Structure: optimized geometry

Lattice parameters (Å, degrees): 7.605 7.605 13.307 90.00 90.00 90.00
Space group I4/mcm (No. 140)
Unique sites:
Sm 0.000 0.000 0.000
Sm 0.168 0.332 0.141
Co 0.115 0.385 0.500
Si 0.000 0.000 0.250



Record 5
Compound: Sm4Co3Si
Source: Alexandria via LeMat-Bulk
Functional: PBE
Structure: optimized geometry

Lattice parameters (Å, degrees): 4.061 4.205 10.259 90.00 90.00 90.00
Space group Pmm2 (No. 25)
Unique sites:
Sm 0.000 0.000 0.000
Sm 0.000 0.500 0.492
Sm 0.500 0.000 0.287
Sm 0.500 0.500 0.779
Co 0.000 0.000 0.686
Co 0.000 0.500 0.203
Co 0.500 0.000 0.587
Si 0.500 0.500 0.082



Record 6
Compound: SmCoSi3
Source: Alexandria via LeMat-Bulk
Functional: PBE
Structure: optimized geometry

Lattice parameters (Å, degrees): 4.105 4.105 9.578 90.00 90.00 90.00
Space group I4mm (No. 107)
Unique sites:
Sm 0.000 0.000 0.000
Co 0.000 0.000 0.657
Si 0.000 0.000 0.423
Si 0.000 0.500 0.258



Record 7
Compound: Sm12Co6Si
Source: Alexandria via LeMat-Bulk
Functional: PBE
Structure: optimized geometry

Lattice parameters (Å, degrees): 9.798 9.798 9.798 90.00 90.00 90.00
Space group Im-3 (No. 204)
Unique sites:
Sm 0.000 0.302 0.192
Co 0.000 0.113 0.500
Si 0.000 0.000 0.000



Record 8
Compound: Sm3Co6Si5
Source: Alexandria via LeMat-Bulk
Functional: PBE
Structure: optimized geometry

Lattice parameters (Å, degrees): 3.858 11.739 9.653 90.00 90.00 90.00
Space group Pmmn (No. 59, origin choice 2)
Unique sites:
Sm 0.250 0.093 0.243
Sm 0.250 0.750 0.250
Co 0.250 0.052 0.903
Co 0.250 0.250 0.520
Co 0.250 0.250 0.995
Co 0.250 0.579 0.490
Si 0.250 0.075 0.642
Si 0.250 0.627 0.993
Si 0.250 0.750 0.597



Record-wise N(E_F) values, in states/eV/f.u.: 7.39 3.68 7.62 9.67 8.12 1.82 10.52 8.59
Record-wise uncorrected energy values, in eV per atom: -6.72 -6.32 -6.71 -5.65 -5.99 -6.29 -5.67 -6.65